Version P
Mg2CuTc: optimized geometry, PBE-GGA.

Volume in Å³/atom: 15.57
Space-group type: No. 139
Fermi-level density of states in states/eV/cell: 0.971

a = 4.8400 Å, b = 4.8400 Å, c = 4.8400 Å
α = 131.49°, β = 131.49°, γ = 71.03°
Element x y z (fractional)
1 Cu 0.7500 0.2500 0.5000
2 Mg 0.0000 0.0000 0.0000
3 Mg 0.5000 0.5000 0.0000
4 Tc 0.2500 0.7500 0.5000



Version Q
Mg2CuTc: optimized geometry, PBE-GGA.

Volume in Å³/atom: 15.70
Space-group type: No. 119
Fermi-level density of states in states/eV/cell: 2.503

a = 4.9499 Å, b = 4.9499 Å, c = 4.9499 Å
α = 133.46°, β = 133.46°, γ = 67.94°
Element x y z (fractional)
1 Cu 0.7500 0.2500 0.5000
2 Mg 0.0000 0.0000 0.0000
3 Mg 0.2500 0.7500 0.5000
4 Tc 0.5000 0.5000 0.0000



Version R
Mg2CuTc: optimized geometry, PBE-GGA.

Volume in Å³/atom: 16.01
Space-group type: No. 6
Fermi-level density of states in states/eV/cell: 3.040

a = 4.6513 Å, b = 2.7404 Å, c = 5.0231 Å
α = 90.17°, β = 90.00°, γ = 90.00°
Element x y z (fractional)
1 Cu 0.5000 0.6239 0.7684
2 Mg 0.0000 0.1274 0.9576
3 Mg 0.5000 0.1228 0.3047
4 Tc 0.0000 0.6259 0.4693



Version S
Mg2CuTc: optimized geometry, PBE-GGA.

Volume in Å³/atom: 15.85
Space-group type: No. 65
Fermi-level density of states in states/eV/cell: 3.117

a = 4.9911 Å, b = 4.9911 Å, c = 2.7091 Å
α = 90.06°, β = 90.06°, γ = 110.01°
Element x y z (fractional)
1 Cu 0.0000 0.5000 0.5000
2 Mg 0.0000 0.0000 0.0000
3 Mg 0.5000 0.5000 0.0000
4 Tc 0.5000 0.0000 0.5000



Preferred: version S; penalty for the next structure: 30 meV/atom.



Version P
MgCuTc: optimized geometry, PBE-GGA.

Volume in Å³/atom: 15.02
Space-group type: No. 129
Fermi-level density of states in states/eV/cell: 2.944

a = 3.0556 Å, b = 3.0556 Å, c = 9.6503 Å
α = 90.00°, β = 90.00°, γ = 90.00°
Element x y z (fractional)
1 Tc 0.0000 0.5000 0.5709
2 Tc 0.5000 0.0000 0.4291
3 Mg 0.0000 0.5000 0.2359
4 Mg 0.5000 0.0000 0.7641
5 Cu 0.5000 0.0000 0.0674
6 Cu 0.0000 0.5000 0.9326



Version Q
MgCuTc: optimized geometry, PBE-GGA.

Volume in Å³/atom: 17.17
Space-group type: No. 216
Fermi-level density of states in states/eV/cell: 0.263

a = 4.1765 Å, b = 4.1765 Å, c = 4.1765 Å
α = 60.00°, β = 60.00°, γ = 60.00°
Last column: magnetic moment on the atom in μB.
Element x y z (fractional)
1 Cu 0.7500 0.7500 0.7500  0.19
2 Mg 0.0000 0.0000 0.0000  -0.03
3 Tc 0.5000 0.5000 0.5000  1.82



Version R
MgCuTc: optimized geometry, PBE-GGA.

Volume in Å³/atom: 14.91
Space-group type: No. 156
Fermi-level density of states in states/eV/cell: 2.589

a = 2.7570 Å, b = 2.7570 Å, c = 6.7928 Å
α = 90.00°, β = 90.00°, γ = 120.00°
Element x y z (fractional)
1 Cu 0.0000 0.0000 0.9956
2 Mg 0.6667 0.3333 0.3271
3 Tc 0.3333 0.6667 0.6773



Version S
MgCuTc: optimized geometry, PBE-GGA.

Volume in Å³/atom: 14.72
Space-group type: No. 107
Fermi-level density of states in states/eV/cell: 1.174

a = 6.5168 Å, b = 6.5168 Å, c = 6.5168 Å
α = 156.44°, β = 156.44°, γ = 33.56°
Element x y z (fractional)
1 Cu 0.0034 0.0034 0.0000
2 Mg 0.3366 0.3366 0.0000
3 Tc 0.6600 0.6600 0.0000



Preferred: version P; penalty for the next structure: 191 meV/atom.



Version P
Mg2CuTe: optimized geometry, PBE-GGA.

Volume in Å³/atom: 21.42
Space-group type: No. 225
Fermi-level density of states in states/eV/cell: 2.562

a = 4.9485 Å, b = 4.9485 Å, c = 4.9485 Å
α = 60.00°, β = 60.00°, γ = 60.00°
Element x y z (fractional)
1 Mg 0.2500 0.2500 0.2500
2 Mg 0.7500 0.7500 0.7500
3 Te 0.5000 0.5000 0.5000
4 Cu 0.0000 0.0000 0.0000



Version Q
Mg2CuTe: optimized geometry, PBE-GGA.

Volume in Å³/atom: 20.58
Space-group type: No. 123
Fermi-level density of states in states/eV/cell: 1.185

a = 3.6993 Å, b = 3.6993 Å, c = 6.0164 Å
α = 90.00°, β = 90.00°, γ = 90.00°
Element x y z (fractional)
1 Cu 0.5000 0.5000 0.7500
2 Mg 0.0000 0.0000 0.9817
3 Mg 0.0000 0.0000 0.5183
4 Te 0.5000 0.5000 0.2500



Preferred: version Q; penalty for the next structure: 151 meV/atom.



Version P
Mg2CuTe: optimized geometry, PBE-GGA.

Volume in Å³/atom: 22.46
Space-group type: No. 99
Fermi-level density of states in states/eV/cell: 1.470

a = 3.8901 Å, b = 3.8900 Å, c = 5.9379 Å
α = 90.00°, β = 90.00°, γ = 90.00°
Element x y z (fractional)
1 Cu 0.5000 0.5000 0.8372
2 Mg 0.0000 0.0000 0.9405
3 Mg 0.5000 0.5000 0.2745
4 Te 0.0000 0.0000 0.4478



Version Q
Mg2CuTe: optimized geometry, PBE-GGA.

Volume in Å³/atom: 21.61
Space-group type: No. 216
Fermi-level density of states in states/eV/cell: 3.239

a = 4.9627 Å, b = 4.9627 Å, c = 4.9627 Å
α = 60.00°, β = 60.00°, γ = 60.00°
Element x y z (fractional)
1 Cu 0.5000 0.5000 0.5000
2 Mg 0.0000 0.0000 0.0000
3 Mg 0.2500 0.2500 0.2500
4 Te 0.7500 0.7500 0.7500



Preferred: version P; penalty for the next structure: 265 meV/atom.